K3Tl4Sn: optimized geometry, PBE.

a b c (Å): 7.7399 7.7399 7.7399
angles (deg): 113.12 88.57 129.22
Atoms (fractional coordinates):
K1 0.5642 0.2207 0.7849
K2 0.9487 0.0000 0.9487
K3 0.5642 0.7793 0.3435
Tl1 0.2515 0.6842 0.9357
Tl2 0.2515 0.3158 0.5674
Tl3 0.5343 0.2560 0.2783
Tl4 0.0223 0.7440 0.2783
Sn1 0.0143 0.5000 0.5143

Properties
Offset from the most stable computed form in meV/atom: 30.6
Crystal system: orthorhombic
Total moment in μB/atom: 0.000
DFT total energy in eV/cell: -17.5
E_form in eV/atom: -0.09

=====

KTl3Sn: optimized geometry, PBE.

a b c (Å): 5.9842 5.9842 5.9842
angles (deg): 90.00 90.00 90.00
Atoms (fractional coordinates):
K1 0.0000 0.0000 0.0000
Tl1 0.0000 0.5000 0.0000
Tl2 0.0000 0.0000 0.5000
Tl3 0.5000 0.0000 0.0000
Sn1 0.5000 0.5000 0.5000

Properties
Offset from the most stable computed form in meV/atom: 781.7
Crystal system: cubic
Total moment in μB/atom: 0.000
DFT total energy in eV/cell: -8.7
E_form in eV/atom: 0.69

=====

K2Tl2Sn15: optimized geometry, PBE.

a b c (Å): 8.4613 8.4613 8.4613
angles (deg): 81.84 81.84 81.84
Atoms (fractional coordinates):
K1 0.3407 0.3407 0.3407
K2 0.6593 0.6593 0.6593
Tl1 0.1017 0.1017 0.1017
Tl2 0.8983 0.8983 0.8983
Sn1 0.5000 0.0000 0.0000
Sn2 0.0000 0.0000 0.5000
Sn3 0.0000 0.5000 0.0000
Sn4 0.0000 0.7033 0.2967
Sn5 0.7033 0.2967 0.0000
Sn6 0.2967 0.0000 0.7033
Sn7 0.2967 0.7033 0.0000
Sn8 0.7033 0.0000 0.2967
Sn9 0.0000 0.2967 0.7033
Sn10 0.1546 0.6442 0.6442
Sn11 0.6442 0.6442 0.1546
Sn12 0.6442 0.1546 0.6442
Sn13 0.8454 0.3558 0.3558
Sn14 0.3558 0.3558 0.8454
Sn15 0.3558 0.8454 0.3558

Properties
Crystal system: trigonal
Total moment in μB/atom: 0.000
DFT total energy in eV/cell: -67.2
E_form in eV/atom: -0.01

=====

K2Tl3Sn2: optimized geometry, PBE.

a b c (Å): 4.8105 6.9437 8.4796
angles (deg): 112.81 90.00 110.27
Atoms (fractional coordinates):
K1 0.8568 0.7136 0.2160
K2 0.1432 0.2864 0.7840
Tl1 0.5000 0.0000 0.0000
Tl2 0.6124 0.2248 0.4496
Tl3 0.3876 0.7752 0.5504
Sn1 0.8509 0.7018 0.7593
Sn2 0.1491 0.2982 0.2407

Properties
Crystal system: monoclinic
Total moment in μB/atom: 0.000
DFT total energy in eV/cell: -18.0
E_form in eV/atom: -0.10

=====

KTl2Sn: optimized geometry, PBE.

a b c (Å): 5.3409 6.8575 8.1311
angles (deg): 115.04 90.00 90.00
Atoms (fractional coordinates):
K1 0.2500 0.3009 0.0978
K2 0.7500 0.6991 0.9022
Tl1 0.2500 0.8722 0.2495
Tl2 0.7500 0.1278 0.7505
Tl3 0.7500 0.2287 0.3793
Tl4 0.2500 0.7713 0.6207
Sn1 0.7500 0.6962 0.3735
Sn2 0.2500 0.3038 0.6265

Properties
Offset from the most stable computed form in meV/atom: 0.0
Crystal system: monoclinic
Total moment in μB/atom: 0.000
DFT total energy in eV/cell: -20.5
E_form in eV/atom: -0.10

=====

K3Tl8Sn: optimized geometry, PBE.

a b c (Å): 6.6728 6.6728 11.3420
angles (deg): 72.89 72.89 60.00
Atoms (fractional coordinates):
K1 0.3771 0.3771 0.8686
K2 0.9951 0.9951 0.0147
K3 0.5027 0.5027 0.4920
Tl1 0.9360 0.4370 0.1899
Tl2 0.4420 0.9396 0.6787
Tl3 0.4370 0.4370 0.1899
Tl4 0.9396 0.9396 0.6787
Tl5 0.1885 0.1885 0.4344
Tl6 0.6899 0.6899 0.9302
Tl7 0.4370 0.9360 0.1899
Tl8 0.9396 0.4420 0.6787
Sn1 0.8653 0.8653 0.4042

Properties
Crystal system: trigonal
Total moment in μB/atom: 0.000
DFT total energy in eV/cell: -26.7
E_form in eV/atom: -0.04

=====

K2Tl7Sn: optimized geometry, PBE.

a b c (Å): 8.5532 8.5532 8.5532
angles (deg): 60.00 60.00 60.00
Atoms (fractional coordinates):
K1 0.2500 0.2500 0.2500
K2 0.7500 0.7500 0.7500
Tl1 0.5000 0.5000 0.5000
Tl2 0.2454 0.7546 0.7546
Tl3 0.2454 0.7546 0.2454
Tl4 0.7546 0.2454 0.7546
Tl5 0.7546 0.7546 0.2454
Tl6 0.2454 0.2454 0.7546
Tl7 0.7546 0.2454 0.2454
Sn1 0.0000 0.0000 0.0000

Properties
Offset from the most stable computed form in meV/atom: 179.4
Crystal system: cubic
Total moment in μB/atom: 0.000
DFT total energy in eV/cell: -21.5
E_form in eV/atom: 0.13

=====

KTl2Sn: optimized geometry, PBE.

a b c (Å): 4.5616 4.5616 8.7194
angles (deg): 74.84 74.84 60.00
Atoms (fractional coordinates):
K1 0.6679 0.6679 0.9963
Tl1 0.0996 0.0996 0.7011
Tl2 0.2334 0.2334 0.2999
Sn1 0.4991 0.4991 0.5027

Properties
Offset from the most stable computed form in meV/atom: 43.5
Crystal system: trigonal
Total moment in μB/atom: 0.000
DFT total energy in eV/cell: -10.1
E_form in eV/atom: -0.06

=====

Number 5 is which compound? KTl2Sn

=====

The highest E_form belongs to which entry? KTl3Sn

=====

DFT total energy of number 8 (KTl2Sn)? -10.1 eV/cell